VASP calculation (PBE) on an optimized crystal structure of CaHfOs2.

Calculated values
space-group type	No. 11
formation energy from the elements	0.01	eV/atom
calculated volume	20.656	Å³/atom

Lattice parameters (Å, degrees): 5.6148 4.2723 7.0414 90.00 101.95 90.00
Atoms (fractional coordinates):
Hf1 0.0682 0.2500 0.3529
Hf2 0.9318 0.7500 0.6471
Ca1 0.3754 0.2500 0.8267
Ca2 0.6246 0.7500 0.1733
Os1 0.9167 0.2500 0.9331
Os2 0.0833 0.7500 0.0669
Os3 0.6527 0.2500 0.5245
Os4 0.3473 0.7500 0.4755